1.
Material: LiZr2AgN
Method: DFT, PBE
State: relaxed

Values from the calculation:
raw formation energy = -57.19 kJ per mole of atoms
DFT total energy = -33.2 eV for the cell shown
crystal system = tetragonal

```
5
Lattice="4.470 0.000 0.000 0.000 4.470 0.000 0.000 0.000 4.096" Properties=species:S:1:pos:R:3 pbc="T T T"
Zr 2.235 0.000 0.000
Zr 0.000 2.235 0.000
Li 0.000 0.000 2.048
N 0.000 0.000 0.000
Ag 2.235 2.235 2.048
```

2.
Material: NaLi6Ag
Method: DFT, PBE
State: relaxed

Values from the calculation:
DFT total energy = -15.8 eV for the cell shown
polymorph energy (0 for the lowest one) = 18 meV per atom
crystal system = orthorhombic

```
8
Lattice="4.873 0.000 0.000 0.000 6.096 -0.190 0.000 -2.869 5.382" Properties=species:S:1:pos:R:3 pbc="T T T"
Ag 0.000 -2.120 4.916
Li 2.436 2.220 0.334
Li 0.000 2.439 2.082
Li 0.000 -0.754 2.182
Li 2.436 5.413 0.234
Li 2.436 3.910 3.053
Li 0.000 0.936 4.901
Na 2.436 0.858 3.065
```

3.
Material: NaLi5Ag4
Method: DFT, PBE
State: relaxed

Values from the calculation:
DFT total energy = -23.9 eV for the cell shown
crystal system = tetragonal

```
10
Lattice="-3.148 0.500 -0.681 -0.731 -0.292 3.164 2.195 16.585 2.037" Properties=species:S:1:pos:R:3 pbc="T T T"
Ag 0.501 3.783 0.465
Ag 1.695 12.802 1.572
Ag 1.296 9.787 1.202
Ag 0.900 6.798 0.835
Li -0.055 14.343 2.990
Li -1.240 5.387 1.890
Li -0.443 11.406 2.629
Li -1.629 2.451 1.530
Li -0.842 8.397 2.260
Na 0.000 0.000 0.000
```

4.
Material: Na2LiAg
Method: DFT, PBE
State: relaxed

Values from the calculation:
DFT total energy = -13.9 eV for the cell shown
polymorph energy (0 for the lowest one) = 109 meV per atom
crystal system = tetragonal

```
8
Lattice="-2.224 -4.312 -6.745 7.261 1.861 -3.584 3.733 -3.694 -3.987" Properties=species:S:1:pos:R:3 pbc="T T T"
Ag 0.000 0.000 0.000
Ag 2.014 -4.616 -7.948
Na 5.225 -0.238 -3.984
Na 7.310 -4.888 -12.078
Na 0.420 -3.447 -5.756
Na 4.586 -3.716 -6.813
Li 6.756 -1.529 -6.367
Li 2.519 -1.225 -5.164
```

5.
Material: Na3LiAg
Method: DFT, PBE
State: relaxed

Values from the calculation:
DFT total energy = -7.8 eV for the cell shown
polymorph energy (0 for the lowest one) = 0 meV per atom
crystal system = cubic

```
5
Lattice="5.660 0.000 0.000 0.000 5.660 0.000 0.000 0.000 5.660" Properties=species:S:1:pos:R:3 pbc="T T T"
Ag 0.000 0.000 0.000
Na 0.000 2.830 0.000
Na 0.000 0.000 2.830
Na 2.830 0.000 0.000
Li 2.830 2.830 2.830
```

6.
Material: NaLiAg
Method: DFT, PBE
State: relaxed

Values from the calculation:
DFT total energy = -6.3 eV for the cell shown
crystal system = tetragonal

```
3
Lattice="-0.029 0.305 3.455 -3.329 -0.973 0.058 3.189 -4.804 -1.291" Properties=species:S:1:pos:R:3 pbc="T T T"
Li -1.072 -2.397 1.944
Ag 0.925 -3.146 0.285
Na -0.189 -5.401 2.216
```

7.
Material: NaLi2Ag3
Method: DFT, PBE
State: relaxed

Values from the calculation:
DFT total energy = -14.0 eV for the cell shown
polymorph energy (0 for the lowest one) = 90 meV per atom
crystal system = hexagonal

```
6
Lattice="4.431 0.000 0.000 0.000 5.060 -2.921 0.000 0.000 5.843" Properties=species:S:1:pos:R:3 pbc="T T T"
Ag 0.000 2.530 -1.461
Ag 0.000 0.000 2.921
Ag 0.000 2.530 1.461
Na 0.000 0.000 0.000
Li 2.216 3.373 0.000
Li 2.216 1.687 2.921
```

8.
Material: NaLiAg3
Method: DFT, PBE
State: relaxed

Values from the calculation:
DFT total energy = -8.9 eV for the cell shown
polymorph energy (0 for the lowest one) = 629 meV per atom
crystal system = cubic

```
5
Lattice="-2.488 -4.084 -1.783 -1.265 -1.311 4.767 -4.273 2.766 -0.373" Properties=species:S:1:pos:R:3 pbc="T T T"
Ag -0.632 -0.656 2.384
Ag -1.244 -2.042 -0.892
Ag -2.137 1.383 -0.187
Li -4.013 -1.315 1.306
Na 0.000 0.000 0.000
```

9.
Material: NaLi15Ag4
Method: DFT, PBE
State: relaxed

Values from the calculation:
DFT total energy = -43.4 eV for the cell shown
crystal system = tetragonal

```
20
Lattice="-1.798 0.210 -3.837 -1.270 -4.031 0.374 -17.228 6.208 8.411" Properties=species:S:1:pos:R:3 pbc="T T T"
Ag -3.710 1.337 1.811
Ag -6.985 2.517 3.410
Ag -10.244 3.691 5.001
Ag -13.519 4.871 6.600
Li -1.534 -1.910 -1.732
Li -9.513 3.209 2.287
Li -5.233 -0.577 0.074
Li -16.022 5.555 5.465
Li -6.248 2.033 0.693
Li -12.778 4.386 3.881
Li -5.984 -0.088 2.798
Li -11.780 1.782 3.271
Li -12.514 2.265 5.986
Li -15.063 2.965 4.873
Li -8.515 0.605 1.677
Li -15.758 3.434 7.570
Li -9.249 1.089 4.392
Li -3.003 0.863 -0.891
Li -2.740 -1.257 1.215
Na 0.000 0.000 0.000
```

10.
Material: Na3LiAg
Method: DFT, PBE
State: relaxed

Values from the calculation:
DFT total energy = -6.8 eV for the cell shown
polymorph energy (0 for the lowest one) = 211 meV per atom
crystal system = cubic

```
5
Lattice="5.479 0.000 0.000 0.000 5.479 0.000 0.000 0.000 5.479" Properties=species:S:1:pos:R:3 pbc="T T T"
Na 0.000 0.000 2.739
Na 0.000 2.739 0.000
Na 2.739 0.000 0.000
Ag 2.739 2.739 2.739
Li 0.000 0.000 0.000
```

11.
Material: NaLi2Ag8
Method: DFT, PBE
State: relaxed

Values from the calculation:
DFT total energy = -28.5 eV for the cell shown
crystal system = monoclinic

```
11
Lattice="4.057 0.054 -1.196 -0.951 6.742 -2.919 0.165 -0.661 7.820" Properties=species:S:1:pos:R:3 pbc="T T T"
Li 1.752 1.592 3.186
Li 2.689 4.007 -0.938
Ag 0.261 2.535 5.592
Ag 3.476 2.971 1.624
Ag 3.200 0.419 0.628
Ag 0.899 2.235 0.381
Ag 1.305 4.735 1.813
Ag 2.552 0.709 5.796
Ag 0.543 5.630 -0.676
Ag 4.032 -0.101 3.366
Na -0.132 5.334 4.379
```

12.
Material: NaLiAg3
Method: DFT, PBE
State: relaxed

Values from the calculation:
DFT total energy = -24.0 eV for the cell shown
polymorph energy (0 for the lowest one) = 0 meV per atom
crystal system = orthorhombic

```
10
Lattice="-1.908 -1.786 2.847 5.607 -0.045 3.729 -1.932 6.829 2.988" Properties=species:S:1:pos:R:3 pbc="T T T"
Ag 4.544 1.142 4.238
Ag 2.157 2.461 3.464
Ag 1.900 5.870 5.430
Ag 3.807 3.746 5.377
Ag 0.249 4.584 3.517
Ag 1.444 0.359 1.668
Li 1.073 3.275 5.869
Li 2.040 -0.140 4.375
Na -0.822 1.582 3.542
Na -2.637 5.004 4.472
```

13.
Material: NaLi2Ag3
Method: DFT, PBE
State: relaxed

Values from the calculation:
DFT total energy = -14.5 eV for the cell shown
polymorph energy (0 for the lowest one) = 0 meV per atom
crystal system = tetragonal

```
6
Lattice="-3.130 -0.671 -0.348 0.506 -0.760 -3.088 1.830 -9.951 2.750" Properties=species:S:1:pos:R:3 pbc="T T T"
Ag 0.533 -2.898 0.801
Ag 0.000 0.000 0.000
Ag 1.297 -7.054 1.949
Na -0.397 -5.691 -0.343
Li -1.037 -2.208 -1.305
Li 0.243 -9.175 0.620
```